A plane-wave DFT calculation with PBE-GGA was carried out for a geometry-optimized ZnNi2Ru structure.

a b c (Å): 2.6263 2.6263 7.1454
angles (deg): 90.00 90.00 90.00
Last column: nearest neighbours and their distance in Å.
Sites, in units of the cell vectors:
Ni: 0.0000 0.0000 0.5006  4 Zn 2.57, 4 Ru 2.58, 4 Ni 2.63
Zn: 0.5000 0.5000 0.7500  8 Ni 2.57, 4 Zn 2.63
Ru: 0.5000 0.5000 0.2500  8 Ni 2.58, 4 Ru 2.63
Ni: 0.0000 0.0000 0.9994  4 Zn 2.57, 4 Ru 2.58, 4 Ni 2.63


A plane-wave DFT calculation with PBE-GGA was carried out for a geometry-optimized ZnNiRu2 structure.

a b c (Å): 4.8502 4.8502 4.8502
angles (deg): 143.32 129.10 64.36
Last column: nearest neighbours and their distance in Å.
Sites, in units of the cell vectors:
Ru: 0.7445 0.2445 0.5000  4 Ni 2.59, 4 Zn 2.60-2.89, 4 Ru 2.64-2.86
Zn: 0.4885 0.4885 0.0000  2 Ni 2.42, 6 Ru 2.59-2.60
Ni: 0.2601 0.7601 0.5000  2 Zn 2.42, 6 Ru 2.58-2.59
Ru: 0.0069 0.0069 0.0000  2 Ni 2.58, 4 Zn 2.59, 4 Ru 2.64-2.86


A plane-wave DFT calculation with PBE-GGA was carried out for a geometry-optimized ZnNi2Ru structure.

a b c (Å): 4.4935 4.4935 2.5852
angles (deg): 90.00 90.00 109.12
Last column: nearest neighbours and their distance in Å.
Sites, in units of the cell vectors:
Ni: 0.5000 0.5000 0.0000  4 Ni 2.59-2.61, 4 Zn 2.59, 4 Ru 2.59
Zn: 0.0000 0.5000 0.5000  2 Zn 2.59, 8 Ni 2.59, 2 Ru 2.61
Ru: 0.5000 0.0000 0.5000  2 Ru 2.59, 8 Ni 2.59, 2 Zn 2.61
Ni: 0.0000 0.0000 0.0000  4 Ni 2.59-2.61, 4 Ru 2.59, 4 Zn 2.59


| no. | Fermi-level density of states (states/eV per atom) | magnetic moment (μB/atom) | uncorrected energy (eV for the cell shown) |
| --- | --- | --- | --- |
| 1 | 1.19 | 0.083 | -22.27 |
| 2 | 0.91 | 0.000 | -25.26 |
| 3 | 1.13 | 0.001 | -22.18 |